[1]
First-principles (GGA-PBE) data for a relaxed structure of TlAg2S3, as listed in OQMD via LeMat-Bulk.

Output
Symmetry ... No. 9

a b c (Å): 7.204 7.204 7.132
angles (deg): 99.51 99.51 119.96
Atoms (fractional coordinates):
Tl 0.089 0.911 0.500
Tl 0.911 0.089 0.000
Ag 0.246 0.743 0.988
Ag 0.404 0.567 0.488
Ag 0.567 0.404 0.988
Ag 0.743 0.246 0.488
S 0.119 0.605 0.617
S 0.294 0.463 0.118
S 0.463 0.294 0.618
S 0.605 0.119 0.117
S 0.775 0.948 0.610
S 0.948 0.775 0.110

[2]
First-principles (GGA-PBE) data for a relaxed structure of TlAg3S2, as listed in OQMD via LeMat-Bulk.

Output
Symmetry ... No. 12
Excess energy over the best structure of this formula in the dataset ... 0.002 eV per atom

a b c (Å): 8.412 8.412 8.804
angles (deg): 116.02 116.02 29.68
Atoms (fractional coordinates):
Tl 0.135 0.135 0.041
Tl 0.865 0.865 0.959
Ag 0.057 0.057 0.396
Ag 0.315 0.315 0.604
Ag 0.400 0.400 0.340
Ag 0.600 0.600 0.660
Ag 0.685 0.685 0.396
Ag 0.943 0.943 0.604
S 0.198 0.198 0.705
S 0.489 0.489 0.789
S 0.511 0.511 0.211
S 0.802 0.802 0.295

[3]
First-principles (GGA-PBE) data for a relaxed structure of TmTlAgS3, as listed in OQMD via LeMat-Bulk.

Output
Symmetry ... No. 63
Magnetization ... 0.00 μB/atom

a b c (Å): 6.988 6.988 10.624
angles (deg): 90.00 90.00 146.74
Atoms (fractional coordinates):
Tm 0.000 0.000 0.000
Tm 0.000 0.000 0.500
Tl 0.285 0.715 0.750
Tl 0.715 0.285 0.250
Ag 0.407 0.593 0.250
Ag 0.593 0.407 0.750
S 0.042 0.958 0.250
S 0.365 0.635 0.027
S 0.365 0.635 0.473
S 0.635 0.365 0.527
S 0.635 0.365 0.973
S 0.958 0.042 0.750

[4]
First-principles (GGA-PBE) data for a relaxed structure of UTlAgS3, as listed in OQMD via LeMat-Bulk.

Output
Symmetry ... No. 63
Magnetization ... 0.33 μB/atom

a b c (Å): 7.311 7.311 10.513
angles (deg): 90.00 90.00 147.54
Atoms (fractional coordinates):
U 0.000 0.000 0.000
U 0.000 0.000 0.500
Tl 0.263 0.737 0.750
Tl 0.737 0.263 0.250
Ag 0.448 0.552 0.250
Ag 0.552 0.448 0.750
S 0.061 0.939 0.250
S 0.374 0.626 0.035
S 0.374 0.626 0.465
S 0.626 0.374 0.535
S 0.626 0.374 0.965
S 0.939 0.061 0.750

[5]
First-principles (GGA-PBE) data for a relaxed structure of YTlAgS3, as listed in OQMD via LeMat-Bulk.

Output
Symmetry ... No. 63
Magnetization ... 0.00 μB/atom

a b c (Å): 6.965 6.965 10.727
angles (deg): 90.00 90.00 146.26
Atoms (fractional coordinates):
Y 0.000 0.000 0.000
Y 0.000 0.000 0.500
Tl 0.282 0.718 0.750
Tl 0.718 0.282 0.250
Ag 0.413 0.587 0.250
Ag 0.587 0.413 0.750
S 0.046 0.954 0.250
S 0.363 0.637 0.031
S 0.363 0.637 0.469
S 0.637 0.363 0.531
S 0.637 0.363 0.969
S 0.954 0.046 0.750

[6]
First-principles (GGA-PBE) data for a relaxed structure of ZrTlAg2S4, as listed in OQMD via LeMat-Bulk.

Output
Symmetry ... No. 82
Magnetization ... 0.00 μB/atom

a b c (Å): 7.364 7.364 7.364
angles (deg): 132.32 132.32 69.72
Atoms (fractional coordinates):
Zr 0.000 0.000 0.000
Tl 0.250 0.750 0.500
Ag 0.500 0.500 0.000
Ag 0.750 0.250 0.500
S 0.109 0.630 0.965
S 0.370 0.335 0.478
S 0.665 0.144 0.035
S 0.856 0.891 0.522

[7]
First-principles (GGA-PBE) data for a relaxed structure of ZrTlAgS3, as listed in OQMD via LeMat-Bulk.

Output
Symmetry ... No. 63
Excess energy over the best structure of this formula in the dataset ... 0.021 eV per atom
Magnetization ... 0.00 μB/atom

a b c (Å): 7.387 7.387 10.226
angles (deg): 90.00 90.00 150.01
Atoms (fractional coordinates):
Zr 0.000 0.000 0.000
Zr 0.000 0.000 0.500
Tl 0.267 0.733 0.750
Tl 0.733 0.267 0.250
Ag 0.437 0.563 0.250
Ag 0.563 0.437 0.750
S 0.058 0.942 0.250
S 0.376 0.624 0.025
S 0.376 0.624 0.475
S 0.624 0.376 0.525
S 0.624 0.376 0.975
S 0.942 0.058 0.750

[8]
First-principles (GGA-PBE) data for a relaxed structure of ZrTlAgS3, as listed in OQMD via LeMat-Bulk.

Output
Symmetry ... No. 62
Excess energy over the best structure of this formula in the dataset ... 0.101 eV per atom
Magnetization ... 0.00 μB/atom

a b c (Å): 7.412 4.051 17.164
angles (deg): 90.00 90.00 90.00
Atoms (fractional coordinates):
Zr 0.244 0.250 0.041
Zr 0.256 0.750 0.541
Zr 0.744 0.250 0.459
Zr 0.756 0.750 0.959
Tl 0.122 0.250 0.812
Tl 0.378 0.750 0.312
Tl 0.622 0.250 0.688
Tl 0.878 0.750 0.188
Ag 0.038 0.250 0.326
Ag 0.462 0.750 0.826
Ag 0.538 0.250 0.174
Ag 0.962 0.750 0.674
S 0.011 0.250 0.573
S 0.124 0.750 0.958
S 0.187 0.250 0.186
S 0.313 0.750 0.686
S 0.376 0.250 0.458
S 0.489 0.750 0.073
S 0.511 0.250 0.927
S 0.624 0.750 0.542
S 0.687 0.250 0.314
S 0.813 0.750 0.814
S 0.876 0.250 0.042
S 0.989 0.750 0.427

[9]
First-principles (GGA-PBE) data for a relaxed structure of ZrTlAgS3, as listed in OQMD via LeMat-Bulk.

Output
Symmetry ... No. 62
Excess energy over the best structure of this formula in the dataset ... 0.015 eV per atom
Magnetization ... 0.00 μB/atom

a b c (Å): 10.492 3.789 14.312
angles (deg): 90.00 90.00 90.00
Atoms (fractional coordinates):
Zr 0.021 0.250 0.246
Zr 0.479 0.750 0.746
Zr 0.521 0.250 0.254
Zr 0.979 0.750 0.754
Tl 0.238 0.750 0.022
Tl 0.262 0.250 0.522
Tl 0.738 0.750 0.478
Tl 0.762 0.250 0.978
Ag 0.243 0.750 0.321
Ag 0.257 0.250 0.821
Ag 0.743 0.750 0.179
Ag 0.757 0.250 0.679
S 0.018 0.750 0.370
S 0.033 0.250 0.874
S 0.245 0.250 0.194
S 0.255 0.750 0.694
S 0.467 0.750 0.374
S 0.482 0.250 0.870
S 0.518 0.750 0.130
S 0.533 0.250 0.626
S 0.745 0.250 0.306
S 0.755 0.750 0.806
S 0.967 0.750 0.126
S 0.982 0.250 0.630

[10]
First-principles (GGA-PBE) data for a relaxed structure of ZrTlAgS3, as listed in OQMD via LeMat-Bulk.

Output
Symmetry ... No. 11
Excess energy over the best structure of this formula in the dataset ... 0.000 eV per atom
Magnetization ... 0.00 μB/atom

a b c (Å): 7.985 3.830 9.932
angles (deg): 90.00 109.69 90.00
Atoms (fractional coordinates):
Zr 0.192 0.250 0.156
Zr 0.808 0.750 0.844
Tl 0.230 0.750 0.705
Tl 0.770 0.250 0.295
Ag 0.437 0.750 0.389
Ag 0.563 0.250 0.611
S 0.047 0.250 0.874
S 0.230 0.250 0.421
S 0.399 0.750 0.129
S 0.601 0.250 0.871
S 0.770 0.750 0.579
S 0.953 0.750 0.126

[11]
First-principles (GGA-PBE) data for a relaxed structure of ZrTlAgS3, as listed in OQMD via LeMat-Bulk.

Output
Symmetry ... No. 62
Excess energy over the best structure of this formula in the dataset ... 0.062 eV per atom
Magnetization ... 0.00 μB/atom

a b c (Å): 11.969 3.804 12.202
angles (deg): 90.00 90.00 90.00
Atoms (fractional coordinates):
Zr 0.041 0.250 0.156
Zr 0.459 0.750 0.656
Zr 0.541 0.250 0.344
Zr 0.959 0.750 0.844
Tl 0.151 0.250 0.508
Tl 0.349 0.750 0.008
Tl 0.651 0.250 0.992
Tl 0.849 0.750 0.492
Ag 0.245 0.750 0.313
Ag 0.255 0.250 0.813
Ag 0.745 0.750 0.187
Ag 0.755 0.250 0.687
S 0.025 0.750 0.302
S 0.084 0.250 0.935
S 0.245 0.250 0.162
S 0.255 0.750 0.662
S 0.416 0.750 0.435
S 0.475 0.250 0.802
S 0.525 0.750 0.198
S 0.584 0.250 0.565
S 0.745 0.250 0.338
S 0.755 0.750 0.838
S 0.916 0.750 0.065
S 0.975 0.250 0.698

[12]
First-principles (GGA-PBE) data for a relaxed structure of U3Ag2S2, as listed in OQMD via LeMat-Bulk.

Output
Symmetry ... No. 65
Magnetization ... 1.28 μB/atom

a b c (Å): 10.394 10.394 3.221
angles (deg): 90.00 90.00 155.04
Atoms (fractional coordinates):
U 0.000 0.000 0.000
U 0.175 0.825 0.000
U 0.825 0.175 0.000
Ag 0.426 0.574 0.500
Ag 0.574 0.426 0.500
S 0.295 0.705 0.500
S 0.705 0.295 0.500

| no. | VASP energy (eV per atom) |
| --- | --- |
| 1 | -3.452 |
| 2 | -3.306 |
| 3 | -4.580 |
| 4 | -5.660 |
| 5 | -4.909 |
| 6 | -4.688 |
| 7 | -5.221 |
| 8 | -5.141 |
| 9 | -5.227 |
| 10 | -5.242 |
| 11 | -5.179 |
| 12 | -7.101 |